Record 1
CoPtNO | PBE with a Hubbard U | relaxed

Computed properties:
The energy above the most stable polymorph in this dataset comes out at 0.0 meV/atom. The space-group type is Pmc2_1.

Unit cell a=3.1041 b=5.0287 c=6.1590 alpha=90.00 beta=90.00 gamma=90.00
Atoms (fractional coordinates):
Co  0.5000  0.9991  0.1416
Co  0.5000  0.4991  0.8584
N  0.0000  0.8682  0.2861
N  0.0000  0.3682  0.7139
O  0.5000  0.3831  0.1492
O  0.5000  0.8831  0.8508
Pt  0.0000  0.5035  0.4157
Pt  0.0000  0.0035  0.5843

=====

Record 2
CoReNO | PBE with a Hubbard U | relaxed

Computed properties:
The energy above the most stable polymorph in this dataset comes out at 0.0 meV/atom. The space-group type is Pmc2_1.

Unit cell a=2.7612 b=5.3860 c=5.6825 alpha=90.00 beta=90.00 gamma=90.00
Atoms (fractional coordinates):
Co  0.5000  0.0568  0.2194
Co  0.5000  0.5568  0.7807
N  0.0000  0.8223  0.3153
N  0.0000  0.3223  0.6847
O  0.5000  0.4051  0.1117
O  0.5000  0.9051  0.8883
Re  0.0000  0.4698  0.3731
Re  0.0000  0.9698  0.6269